Record 1
Y2ErCu2, optimized geometry, DFT PBE; energy of formation from the pure elements = -0.16 eV/atom; crystal system = tetragonal
1.0
7.851 0.000 0.000
0.000 7.851 0.000
0.000 0.000 3.790
Y Er Cu
4 2 4
Cartesian
1.293 2.632 0.000
2.632 6.558 0.000
5.219 1.293 0.000
6.558 5.219 0.000
0.000 0.000 1.895
3.926 3.926 1.895
0.965 4.891 1.895
2.960 0.965 1.895
4.891 6.886 1.895
6.886 2.960 1.895



Record 2
YErCu4, optimized geometry, DFT PBE; energy of formation from the pure elements = -0.18 eV/atom; excess energy over the best structure of this formula in the dataset = 0.0959 eV/atom; crystal system = cubic
1.0
0.000 3.714 3.714
3.714 0.000 3.714
3.714 3.714 0.000
Y Er Cu
1 1 4
Cartesian
0.000 0.000 0.000
1.857 1.857 1.857
4.641 2.787 2.787
2.787 4.641 2.787
2.787 2.787 4.641
4.641 4.641 4.641



Record 3
YErCu2, optimized geometry, DFT PBE; energy of formation from the pure elements = -0.26 eV/atom; excess energy over the best structure of this formula in the dataset = 0.0000 eV/atom; crystal system = tetragonal
1.0
3.454 0.000 0.000
0.000 3.454 0.000
0.000 0.000 6.927
Y Er Cu
1 1 2
Cartesian
0.000 0.000 0.000
0.000 0.000 3.464
1.727 1.727 1.804
1.727 1.727 5.123



Record 4
YEr3Cu4, optimized geometry, DFT PBE; energy of formation from the pure elements = -0.27 eV/atom; crystal system = orthorhombic
1.0
3.433 0.000 0.000
0.000 4.884 0.000
0.000 0.000 9.770
Y Er Cu
1 3 4
Cartesian
0.000 0.000 0.000
0.000 0.000 4.885
0.000 2.442 2.452
0.000 2.442 7.319
1.717 0.000 2.469
1.717 0.000 7.301
1.717 2.442 0.000
1.717 2.442 4.885



Record 5
YErCu2, optimized geometry, DFT PBE; energy of formation from the pure elements = -0.26 eV/atom; excess energy over the best structure of this formula in the dataset = 0.0038 eV/atom; crystal system = cubic
1.0
0.000 3.460 3.460
3.460 0.000 3.460
3.460 3.460 0.000
Y Er Cu
1 1 2
Cartesian
0.000 0.000 0.000
3.460 3.460 3.460
1.730 1.730 1.730
5.190 5.190 5.190



Record 6
YErCu3, optimized geometry, DFT PBE; energy of formation from the pure elements = -0.26 eV/atom; crystal system = orthorhombic
1.0
1.804 -12.677 0.000
1.804 12.677 0.000
0.000 0.000 4.283
Y Er Cu
2 2 6
Cartesian
1.804 10.861 3.212
1.804 -10.861 1.071
1.804 7.492 1.071
1.804 -7.492 3.212
1.804 4.378 1.071
1.804 3.011 3.212
1.804 0.586 3.212
1.804 -0.586 1.071
1.804 -3.011 1.071
1.804 -4.378 3.212



Record 7
Y5ErCu6, optimized geometry, DFT PBE; energy of formation from the pure elements = -0.25 eV/atom; crystal system = monoclinic
1.0
4.929 0.000 0.000
0.000 6.907 0.000
-2.453 0.000 7.400
Y Er Cu
5 1 6
Cartesian
0.000 0.000 0.000
0.007 0.000 4.926
0.007 3.453 4.940
2.468 3.453 2.461
2.468 0.000 2.474
0.000 3.453 0.000
0.005 1.738 2.441
0.005 5.169 2.441
2.464 1.757 0.000
2.464 5.150 0.000
2.471 1.738 4.959
2.471 5.169 4.959



Record 8
YErCu, optimized geometry, DFT PBE; energy of formation from the pure elements = -0.15 eV/atom; excess energy over the best structure of this formula in the dataset = 0.0000 eV/atom; crystal system = monoclinic
1.0
6.285 -1.839 0.000
6.285 1.839 0.000
-4.819 0.000 6.472
Y Er Cu
2 2 2
Cartesian
1.650 0.000 0.409
6.100 0.000 6.063
2.100 0.000 3.952
5.650 0.000 2.520
-1.741 0.000 4.350
9.492 0.000 2.122



Record 9
Y2ErCu9, optimized geometry, DFT PBE; energy of formation from the pure elements = -0.20 eV/atom; crystal system = trigonal
1.0
2.574 1.486 8.340
-2.574 1.486 8.340
0.000 -2.972 8.340
Y Er Cu
2 1 9
Cartesian
0.000 0.000 3.518
0.000 0.000 21.501
0.000 0.000 0.000
-1.286 -0.742 10.380
0.000 0.000 8.317
0.000 -1.485 14.639
-1.286 0.742 14.639
0.000 0.000 12.509
1.286 -0.742 10.380
0.000 1.485 10.380
0.000 0.000 16.702
1.286 0.742 14.639



Record 10
YEr2Cu, optimized geometry, DFT PBE; energy of formation from the pure elements = 0.03 eV/atom; excess energy over the best structure of this formula in the dataset = 0.1464 eV/atom; crystal system = trigonal
1.0
1.787 1.032 9.812
-1.787 1.032 9.812
0.000 -2.064 9.812
Y Er Cu
1 2 1
Cartesian
0.000 0.000 0.000
0.000 0.000 6.895
0.000 0.000 22.542
0.000 0.000 14.718



Record 11
Y3Er2Cu3, optimized geometry, DFT PBE; energy of formation from the pure elements = -0.16 eV/atom; crystal system = orthorhombic
1.0
-1.763 2.554 10.428
1.763 -2.554 10.428
1.763 2.554 -10.428
Y Er Cu
3 2 3
Cartesian
0.000 0.000 0.000
1.763 0.000 7.991
0.000 2.554 2.437
0.000 0.000 4.716
0.000 0.000 16.139
1.763 0.000 2.422
0.000 0.000 10.428
0.000 2.554 8.006



Record 12
YEr2Cu, optimized geometry, DFT PBE; energy of formation from the pure elements = -0.08 eV/atom; excess energy over the best structure of this formula in the dataset = 0.0383 eV/atom; crystal system = monoclinic
1.0
4.848 0.000 0.000
0.000 7.621 0.000
-2.414 0.000 5.717
Y Er Cu
2 4 2
Cartesian
0.000 1.905 0.532
2.433 5.716 5.186
0.008 0.271 4.012
0.008 3.540 4.012
2.426 4.082 1.706
2.426 7.351 1.706
-0.002 5.716 2.351
2.435 1.905 3.367



Record 13
YEr2Cu9, optimized geometry, DFT PBE; energy of formation from the pure elements = -0.21 eV/atom; crystal system = trigonal
1.0
2.570 1.484 8.302
-2.570 1.484 8.302
0.000 -2.967 8.302
Y Er Cu
1 2 9
Cartesian
0.000 0.000 0.000
0.000 0.000 3.517
0.000 0.000 21.387
-1.286 -0.743 10.353
0.000 0.000 8.280
0.000 -1.485 14.551
-1.286 0.743 14.551
0.000 0.000 12.452
1.286 -0.743 10.353
0.000 1.485 10.353
0.000 0.000 16.624
1.286 0.743 14.551



Record 14
YEr2Cu3, optimized geometry, DFT PBE; energy of formation from the pure elements = -0.27 eV/atom; crystal system = tetragonal
1.0
3.444 0.000 0.000
0.000 3.444 0.000
0.000 0.000 10.387
Y Er Cu
1 2 3
Cartesian
0.000 0.000 0.000
0.000 0.000 3.478
0.000 0.000 6.909
1.722 1.722 1.789
1.722 1.722 5.194
1.722 1.722 8.598



Record 15
Y3ErCu4, optimized geometry, DFT PBE; energy of formation from the pure elements = -0.25 eV/atom; crystal system = tetragonal
1.0
3.470 0.000 0.000
0.000 3.470 0.000
0.000 0.000 13.872
Y Er Cu
3 1 4
Cartesian
0.000 0.000 0.000
0.000 0.000 3.492
0.000 0.000 10.380
0.000 0.000 6.936
1.735 1.735 1.733
1.735 1.735 5.277
1.735 1.735 8.595
1.735 1.735 12.139



Record 16
Y3Er3Cu4, optimized geometry, DFT PBE; energy of formation from the pure elements = -0.17 eV/atom; crystal system = orthorhombic
1.0
3.766 0.000 0.000
0.000 5.567 5.527
0.000 -5.567 5.527
Y Er Cu
3 3 4
Cartesian
0.000 0.000 0.000
0.000 -1.834 7.337
0.000 1.834 7.337
0.000 0.000 3.636
1.883 -2.768 4.569
1.883 2.768 4.569
1.883 -1.355 1.843
1.883 1.355 1.843
1.883 0.000 5.961
1.883 0.000 8.700



Record 17
Y2Er3Cu3, optimized geometry, DFT PBE; energy of formation from the pure elements = -0.15 eV/atom; crystal system = orthorhombic
1.0
-1.760 2.532 10.427
1.760 -2.532 10.427
1.760 2.532 -10.427
Y Er Cu
2 3 3
Cartesian
0.000 0.000 4.684
0.000 0.000 16.170
0.000 0.000 0.000
1.760 0.000 8.032
0.000 2.532 2.396
1.760 0.000 2.339
0.000 0.000 10.427
0.000 2.532 8.088



Record 18
YEr5Cu6, optimized geometry, DFT PBE; energy of formation from the pure elements = -0.28 eV/atom; crystal system = monoclinic
1.0
4.884 0.000 0.000
0.000 6.840 0.000
-2.427 0.000 7.332
Y Er Cu
1 5 6
Cartesian
0.000 0.000 0.000
0.000 3.420 0.000
0.013 0.000 4.881
0.013 3.420 4.896
2.444 3.420 2.436
2.444 0.000 2.450
-0.005 1.719 2.472
-0.005 5.121 2.472
2.442 1.738 0.000
2.442 5.102 0.000
2.462 1.719 4.860
2.462 5.121 4.860



Record 19
YEr2Cu6, optimized geometry, DFT PBE; energy of formation from the pure elements = -0.26 eV/atom; crystal system = hexagonal
1.0
7.311 0.000 0.000
-3.656 6.332 0.000
0.000 0.000 3.534
Y Er Cu
1 2 6
Cartesian
0.000 0.000 0.000
0.000 4.221 0.000
3.656 2.111 0.000
-1.222 2.117 1.767
-2.433 4.215 1.767
2.444 0.000 1.767
1.222 2.117 1.767
4.867 0.000 1.767
2.433 4.215 1.767



Record 20
YErCu4, optimized geometry, DFT PBE; energy of formation from the pure elements = -0.28 eV/atom; excess energy over the best structure of this formula in the dataset = 0.0000 eV/atom; crystal system = orthorhombic
1.0
-2.142 3.408 3.658
2.142 -3.408 3.658
2.142 3.408 -3.658
Y Er Cu
1 1 4
Cartesian
0.000 0.000 0.000
0.000 3.408 0.653
2.142 -1.352 1.540
2.142 2.067 -0.869
2.142 1.352 1.540
0.000 1.341 2.789